1.
Compound: Nd3Mg3TlGa2
Source: OQMD
Functional: GGA-PBE
Structure: optimized geometry

It has space group P-62m (No. 189), with a = 7.5453 Å, b = 7.5453 Å, c = 4.6227 Å, α = 90.00°, β = 90.00° and γ = 120.00°. The distinct sites, in fractional coordinates, are Nd at (0.0000, 0.5686, 0.0000), Mg at (0.0000, 0.2514, 0.5000), Tl at (0.0000, 0.0000, 0.0000) and Ga at (0.3333, 0.6667, 0.5000).

2.
Compound: MgGa2Ni
Source: OQMD
Functional: GGA-PBE
Structure: optimized geometry

It has space group F-43m (No. 216), with a = 6.253 Å, b = 6.253 Å, c = 6.253 Å, α = 90.00°, β = 90.00° and γ = 90.00°. The distinct sites, in fractional coordinates, are Mg at (0.000, 0.000, 0.000), Ga at (0.000, 0.000, 0.500), Ga at (0.250, 0.250, 0.250) and Ni at (0.250, 0.250, 0.750).

3.
Compound: MgGaNi2
Source: OQMD
Functional: GGA-PBE
Structure: optimized geometry

It has space group Cmmm (No. 65), with a = 5.690 Å, b = 5.773 Å, c = 3.170 Å, α = 90.00°, β = 90.00° and γ = 90.00°. The distinct sites, in fractional coordinates, are Mg at (0.000, 0.000, 0.000), Ga at (0.000, 0.500, 0.000) and Ni at (0.250, 0.250, 0.500).

4.
Compound: Mg2GaNi
Source: OQMD
Functional: GGA-PBE
Structure: optimized geometry

It has space group F-43m (No. 216), with a = 6.277 Å, b = 6.277 Å, c = 6.277 Å, α = 90.00°, β = 90.00° and γ = 90.00°. The distinct sites, in fractional coordinates, are Mg at (0.000, 0.000, 0.000), Mg at (0.250, 0.250, 0.250), Ga at (0.000, 0.000, 0.500) and Ni at (0.250, 0.250, 0.750).

5.
Compound: Mg2GaNi3
Source: OQMD
Functional: GGA-PBE
Structure: optimized geometry

It has space group R-3m (No. 166, hexagonal axes), with a = 5.0242 Å, b = 5.0242 Å, c = 11.4708 Å, α = 90.00°, β = 90.00° and γ = 120.00°. The distinct sites, in fractional coordinates, are Mg at (0.0000, 0.0000, 0.1236), Ga at (0.0000, 0.0000, 0.5000) and Ni at (0.0000, 0.5000, 0.0000).

6.
Compound: MgGaNi2
Source: OQMD
Functional: GGA-PBE
Structure: optimized geometry

It has space group Fm-3m (No. 225), with a = 5.902 Å, b = 5.902 Å, c = 5.902 Å, α = 90.00°, β = 90.00° and γ = 90.00°. The distinct sites, in fractional coordinates, are Mg at (0.000, 0.000, 0.000), Ga at (0.000, 0.000, 0.500) and Ni at (0.250, 0.250, 0.250).

Total magnetic moment values (in Bohr magnetons per cell) by entry order: 0.002, 0.016, 0.001, 0.001, 0.010, 0.001.
Electronic total energy values (in eV per atom) by entry order: -3.4884, -3.3575, -4.2568, -3.0638, -4.1702, -4.2767.